No. 1
Density functional theory data (GGA-PBE) for crystalline SbMoPb2 at its relaxed geometry.

```
SbMoPb2
1.0
1.965 -2.439 0.000
1.965 2.439 0.000
0.000 0.000 10.674
Sb Mo Pb
1 1 2
Direct
0.000 0.000 0.000
0.000 0.000 0.500
0.500 0.500 0.291
0.500 0.500 0.709
```

Calculated values
Raw total energy = -5.00 eV per atom
Space group = Cmmm, No. 65
D(E_F) = 3.65 states/eV/cell
Formation energy (no corrections) = 57 kJ/mol of atoms

=====

No. 2
Density functional theory data (GGA-PBE) for crystalline Tb4Pr2Tl3H2 at its relaxed geometry.

```
Tb4Pr2Tl3H2
1.0
-2.416 2.416 12.421
2.416 -2.416 12.421
2.416 2.416 -12.421
Tb Pr Tl H
4 2 3 2
Direct
0.082 0.582 0.500
0.418 0.918 0.500
0.582 0.082 0.500
0.918 0.418 0.500
0.197 0.197 0.000
0.803 0.803 0.000
0.330 0.330 0.000
0.500 0.500 0.000
0.670 0.670 0.000
0.098 0.098 0.000
0.902 0.902 0.000
```

Calculated values
Raw total energy = -4.12 eV per atom
Space group = I4/mmm, No. 139
D(E_F) = 9.34 states/eV/cell

=====

No. 3
Density functional theory data (GGA-PBE) for crystalline AcCdAgAs at its relaxed geometry.

```
AcCdAgAs
1.0
0.000 3.722 3.722
3.722 0.000 3.722
3.722 3.722 0.000
Ac Cd Ag As
1 1 1 1
Direct
0.000 0.000 0.000
0.500 0.500 0.500
0.750 0.750 0.750
0.250 0.250 0.250
```

Calculated values
Raw total energy = -3.52 eV per atom
Energy of formation from the pure elements = -386 meV per atom
Space group = F-43m, No. 216
D(E_F) = 2.24 states/eV/cell

=====

No. 4
Density functional theory data (GGA-PBE) for crystalline Be2SbAs at its relaxed geometry.

```
Be2SbAs
1.0
-1.714 1.715 5.640
1.714 -1.715 5.640
1.714 1.715 -5.640
Be Sb As
2 1 1
Direct
0.000 0.000 0.000
0.645 0.145 0.500
0.369 0.369 0.000
0.138 0.638 0.500
```

Calculated values
Raw total energy = -3.69 eV per atom
Space group = Imm2, No. 44
D(E_F) = 1.47 states/eV/cell
Formation energy (no corrections) = 36 kJ/mol of atoms

=====

No. 5
Density functional theory data (GGA-PBE) for crystalline Dy4TePt at its relaxed geometry.

```
Dy4TePt
1.0
7.616 -2.862 0.000
7.616 2.862 0.000
-6.348 0.000 7.566
Dy Te Pt
8 2 2
Direct
0.088 0.088 0.437
0.110 0.110 0.010
0.377 0.377 0.797
0.382 0.382 0.189
0.618 0.618 0.811
0.623 0.623 0.203
0.890 0.890 0.990
0.912 0.912 0.563
0.303 0.303 0.425
0.697 0.697 0.575
0.171 0.171 0.797
0.829 0.829 0.203
```

Calculated values
Raw total energy = -5.34 eV per atom
Space group = C2/m, No. 12
D(E_F) = 11.15 states/eV/cell
Formation energy (no corrections) = -71 kJ/mol of atoms

=====

No. 6
Density functional theory data (GGA-PBE) for crystalline MgS2Br at its relaxed geometry.

```
MgS2Br
1.0
4.288 -6.959 0.000
4.288 6.959 0.000
0.000 0.000 4.042
Mg S Br
2 4 2
Direct
0.211 0.211 0.000
0.789 0.789 0.500
0.298 0.491 0.352
0.491 0.298 0.648
0.509 0.702 0.148
0.702 0.509 0.852
0.114 0.886 0.750
0.886 0.114 0.250
```

Calculated values
Raw total energy = -3.46 eV per atom
Space group = C222_1, No. 20
D(E_F) = 1.62 states/eV/cell
Formation energy (no corrections) = -56 kJ/mol of atoms

=====

- Among the records above, which one has the highest raw total energy?
  MgS2Br